Density functional theory data (PBE) for a geometry-optimized SrNi3Br structure. Values from VASP.

Cell and atoms, written as Quantum ESPRESSO input:
```
&SYSTEM
  ibrav = 0, nat = 5, ntyp = 3
/
ATOMIC_SPECIES
Sr 87.62 Sr.upf
Ni 58.69 Ni.upf
Br 79.90 Br.upf
ATOMIC_POSITIONS crystal
Sr 0.0000 0.0000 0.0000
Ni 0.0000 0.5000 0.5000
Ni 0.5000 0.0000 0.5000
Ni 0.5000 0.5000 0.0000
Br 0.5000 0.5000 0.5000
CELL_PARAMETERS angstrom
4.5895 0.0000 0.0000
0.0000 4.5895 0.0000
0.0000 0.0000 4.5895
```

Summary:
Space-group type: Pm-3m (221)
Relative energy among the computed polymorphs in meV per atom: 0
N(E_F) in states/eV per cell: 3.9
Total magnetization in μB/atom: 0.00
Energy relative to the elements, uncorrected in eV/atom: 0.445